1.
The following is a DFT calculation (GGA-PBE) of Zn2NiRh2 after structural relaxation.

## Properties
As for the total energy: -4.63 eV per atom. As for the symmetry: P4/mbm, No. 127. Its total magnetization is 1.84 μB per cell. The value obtained for the relative energy among the computed polymorphs is 0.000 eV/atom.

Unit cell a=6.6854 b=6.6854 c=3.1564 alpha=90.00 beta=90.00 gamma=90.00
Closest atoms and distances in Å follow each position.
Element x y z (fractional)
Zn (0.1349, 0.3651, 0.0000)  6 Rh 2.46-2.56, 1 Zn 2.55, 2 Ni 2.60
Zn (0.3651, 0.8651, 0.0000)  6 Rh 2.46-2.56, 1 Zn 2.55, 2 Ni 2.60
Zn (0.6349, 0.1349, 0.0000)  6 Rh 2.46-2.56, 1 Zn 2.55, 2 Ni 2.60
Zn (0.8651, 0.6349, 0.0000)  6 Rh 2.46-2.56, 1 Zn 2.55, 2 Ni 2.60
Ni (0.0000, 0.0000, 0.0000)  4 Zn 2.60
Ni (0.5000, 0.5000, 0.0000)  4 Zn 2.60
Rh (0.1659, 0.6659, 0.5000)  6 Zn 2.46-2.56
Rh (0.3341, 0.1659, 0.5000)  6 Zn 2.46-2.56
Rh (0.6659, 0.8341, 0.5000)  6 Zn 2.46-2.56
Rh (0.8341, 0.3341, 0.5000)  6 Zn 2.46-2.56



2.
The following is a DFT calculation (GGA-PBE) of ZnNi8Rh6 after structural relaxation.

## Properties
As for the total energy: -6.11 eV per atom. As for the symmetry: P-1, No. 2. Its total magnetization is 7.62 μB per cell.

Unit cell a=4.5573 b=6.8710 c=6.8756 alpha=73.17 beta=71.54 gamma=70.65
Closest atoms and distances in Å follow each position.
Element x y z (fractional)
Zn (0.0000, 0.0000, 0.0000)  6 Ni 2.61-2.63, 6 Rh 2.61-2.65
Ni (0.0013, 0.6676, 0.6678)  6 Rh 2.58-2.61, 6 Ni 2.60-2.64
Ni (0.4009, 0.1988, 0.0026)  4 Ni 2.56-2.63, 6 Rh 2.58-2.65, 2 Zn 2.61-2.63
Ni (0.4019, 0.5316, 0.3348)  6 Rh 2.55-2.63, 6 Ni 2.56-2.64
Ni (0.4050, 0.8619, 0.6685)  5 Ni 2.56-2.64, 6 Rh 2.59-2.67, 1 Zn 2.63
Ni (0.5950, 0.1381, 0.3315)  5 Ni 2.56-2.64, 6 Rh 2.59-2.67, 1 Zn 2.63
Ni (0.5981, 0.4684, 0.6652)  6 Rh 2.55-2.63, 6 Ni 2.56-2.64
Ni (0.5991, 0.8012, 0.9974)  4 Ni 2.56-2.63, 6 Rh 2.58-2.65, 2 Zn 2.61-2.63
Ni (0.9987, 0.3324, 0.3322)  6 Rh 2.58-2.61, 6 Ni 2.60-2.64
Rh (0.2012, 0.2715, 0.6610)  8 Ni 2.55-2.65, 3 Rh 2.61-2.67, 1 Zn 2.65
Rh (0.2042, 0.5971, 0.9983)  8 Ni 2.58-2.65, 3 Rh 2.59-2.66, 1 Zn 2.61
Rh (0.2064, 0.9341, 0.3339)  8 Ni 2.58-2.67, 3 Rh 2.61-2.67, 1 Zn 2.62
Rh (0.7936, 0.0659, 0.6661)  8 Ni 2.58-2.67, 3 Rh 2.61-2.67, 1 Zn 2.62
Rh (0.7958, 0.4029, 0.0017)  8 Ni 2.58-2.65, 3 Rh 2.59-2.66, 1 Zn 2.61
Rh (0.7988, 0.7285, 0.3390)  8 Ni 2.55-2.65, 3 Rh 2.61-2.67, 1 Zn 2.65



3.
The following is a DFT calculation (GGA-PBE) of ZnNi6Rh2 after structural relaxation.

## Properties
As for the total energy: -5.65 eV per atom. As for the symmetry: C2/c, No. 15. Its total magnetization is 9.21 μB per cell. The value obtained for the relative energy among the computed polymorphs is 0.024 eV/atom.

Unit cell a=6.1074 b=6.1074 c=8.7438 alpha=102.71 beta=102.71 gamma=43.20
Closest atoms and distances in Å follow each position.
Element x y z (fractional)
Zn (0.0891, 0.9109, 0.7500)  10 Ni 2.54-2.61, 2 Rh 2.59
Zn (0.9109, 0.0891, 0.2500)  10 Ni 2.54-2.61, 2 Rh 2.59
Ni (0.0250, 0.1928, 0.0279)  7 Ni 2.52-2.61, 2 Zn 2.54-2.57, 3 Rh 2.56-2.61
Ni (0.1928, 0.0250, 0.5279)  7 Ni 2.52-2.61, 2 Zn 2.54-2.57, 3 Rh 2.56-2.61
Ni (0.2504, 0.4201, 0.5802)  7 Ni 2.51-2.62, 4 Rh 2.54-2.62, 1 Zn 2.56
Ni (0.3635, 0.5314, 0.3644)  8 Ni 2.51-2.62, 2 Zn 2.57-2.61, 2 Rh 2.60-2.61
Ni (0.4201, 0.2504, 0.0802)  7 Ni 2.51-2.62, 4 Rh 2.54-2.62, 1 Zn 2.56
Ni (0.4686, 0.6365, 0.1356)  8 Ni 2.51-2.62, 2 Zn 2.57-2.61, 2 Rh 2.60-2.61
Ni (0.5314, 0.3635, 0.8644)  8 Ni 2.51-2.62, 2 Zn 2.57-2.61, 2 Rh 2.60-2.61
Ni (0.5799, 0.7496, 0.9198)  7 Ni 2.51-2.62, 4 Rh 2.54-2.62, 1 Zn 2.56
Ni (0.6365, 0.4686, 0.6356)  8 Ni 2.51-2.62, 2 Zn 2.57-2.61, 2 Rh 2.60-2.61
Ni (0.7496, 0.5799, 0.4198)  7 Ni 2.51-2.62, 4 Rh 2.54-2.62, 1 Zn 2.56
Ni (0.8072, 0.9750, 0.4721)  7 Ni 2.52-2.61, 2 Zn 2.54-2.57, 3 Rh 2.56-2.61
Ni (0.9750, 0.8072, 0.9721)  7 Ni 2.52-2.61, 2 Zn 2.54-2.57, 3 Rh 2.56-2.61
Rh (0.1336, 0.3128, 0.8082)  9 Ni 2.54-2.62, 1 Zn 2.59, 2 Rh 2.60
Rh (0.3128, 0.1336, 0.3083)  9 Ni 2.54-2.62, 1 Zn 2.59, 2 Rh 2.60
Rh (0.6872, 0.8664, 0.6918)  9 Ni 2.54-2.62, 1 Zn 2.59, 2 Rh 2.60
Rh (0.8664, 0.6872, 0.1918)  9 Ni 2.54-2.62, 1 Zn 2.59, 2 Rh 2.60



4.
The following is a DFT calculation (GGA-PBE) of ZnNiRh2 after structural relaxation.

## Properties
As for the total energy: -5.56 eV per atom. As for the symmetry: C2/m, No. 12. Its total magnetization is 1.12 μB per cell.

Unit cell a=4.5249 b=4.5249 c=4.6705 alpha=100.13 beta=100.13 gamma=34.87
Closest atoms and distances in Å follow each position.
Element x y z (fractional)
Zn (0.0000, 0.0000, 0.0000)  6 Rh 2.63-2.66, 4 Ni 2.70, 2 Zn 2.71
Ni (0.5000, 0.5000, 0.5000)  6 Rh 2.61-2.64, 4 Zn 2.70, 2 Ni 2.71
Rh (0.2475, 0.2475, 0.7445)  3 Ni 2.61-2.64, 3 Zn 2.63-2.66, 6 Rh 2.66-2.74
Rh (0.7525, 0.7525, 0.2555)  3 Ni 2.61-2.64, 3 Zn 2.63-2.66, 6 Rh 2.66-2.74



Ordered DFT formation energy results: -24, -3, -16, -122; unit meV per atom.